(1)
! ZrGa2TcGe PBE optimized geometry; values from VASP
&SYSTEM
  ibrav = 0, nat = 5, ntyp = 4
/
ATOMIC_SPECIES
Zr 91.22 Zr.upf
Ga 69.72 Ga.upf
Tc 98.00 Tc.upf
Ge 72.64 Ge.upf
CELL_PARAMETERS angstrom
4.7206 0.0000 0.0000
0.0000 4.7206 0.0000
0.0000 0.0000 4.6001
ATOMIC_POSITIONS crystal
Zr 0.0000 0.0000 0.0000
Ga 0.0000 0.5000 0.5000
Ga 0.5000 0.0000 0.5000
Tc 0.5000 0.5000 0.0000
Ge 0.5000 0.5000 0.5000
! Energy of formation   0.687 eV per atom
! N(E_F)   0.872 states/eV/atom
! Density   6.50 g/cm³
! Total magnetization   0.0000 μB/atom
! Calculated total energy   -5.23 eV per atom

(2)
! ZrGaTcGe PBE optimized geometry; values from VASP
&SYSTEM
  ibrav = 0, nat = 16, ntyp = 4
/
ATOMIC_SPECIES
Zr 91.22 Zr.upf
Ga 69.72 Ga.upf
Tc 98.00 Tc.upf
Ge 72.64 Ge.upf
CELL_PARAMETERS angstrom
6.4125 0.0000 0.0000
0.0000 6.4125 0.0000
0.0000 0.0000 6.4125
ATOMIC_POSITIONS crystal
Zr 0.0000 0.0000 0.0000
Zr 0.0000 0.5000 0.5000
Zr 0.5000 0.0000 0.5000
Zr 0.5000 0.5000 0.0000
Ga 0.2500 0.2500 0.2500
Ga 0.2500 0.7500 0.7500
Ga 0.7500 0.2500 0.7500
Ga 0.7500 0.7500 0.2500
Tc 0.0000 0.0000 0.5000
Tc 0.0000 0.5000 0.0000
Tc 0.5000 0.0000 0.0000
Tc 0.5000 0.5000 0.5000
Ge 0.2500 0.2500 0.7500
Ge 0.2500 0.7500 0.2500
Ge 0.7500 0.2500 0.2500
Ge 0.7500 0.7500 0.7500
! Energy of formation   -0.267 eV per atom
! N(E_F)   0.417 states/eV/atom
! Density   8.35 g/cm³
! Total magnetization   0.0000 μB/atom
! Calculated total energy   -6.91 eV per atom

(3)
! Ga2Ge2Te PBE optimized geometry; values from VASP
&SYSTEM
  ibrav = 0, nat = 10, ntyp = 3
/
ATOMIC_SPECIES
Ga 69.72 Ga.upf
Ge 72.64 Ge.upf
Te 127.60 Te.upf
CELL_PARAMETERS angstrom
8.3440 0.0000 0.0000
0.0000 8.3440 0.0000
0.0000 0.0000 3.0880
ATOMIC_POSITIONS crystal
Ga 0.1773 0.3227 0.0000
Ga 0.3227 0.8227 0.0000
Ga 0.6773 0.1773 0.0000
Ga 0.8227 0.6773 0.0000
Ge 0.1191 0.6191 0.5000
Ge 0.3809 0.1191 0.5000
Ge 0.6191 0.8809 0.5000
Ge 0.8809 0.3809 0.5000
Te 0.0000 0.0000 0.0000
Te 0.5000 0.5000 0.0000
! N(E_F)   0.645 states/eV/atom
! Density   6.37 g/cm³
! Total magnetization   0.0000 μB/atom
! Energy relative to the elements, uncorrected   0.183 eV per atom
! Calculated total energy   -3.50 eV per atom
! Relative energy among the computed polymorphs   50 meV per atom

(4)
! GaGe2Te6 PBE optimized geometry; values from VASP
&SYSTEM
  ibrav = 0, nat = 18, ntyp = 3
/
ATOMIC_SPECIES
Ga 69.72 Ga.upf
Ge 72.64 Ge.upf
Te 127.60 Te.upf
CELL_PARAMETERS angstrom
6.8082 -6.8264 0.0000
6.8082 6.8264 0.0000
-2.4848 0.0000 6.6307
ATOMIC_POSITIONS crystal
Ga 0.1764 0.8236 0.7500
Ga 0.8236 0.1764 0.2500
Ge 0.2302 0.3799 0.6287
Ge 0.3799 0.2302 0.1287
Ge 0.6201 0.7698 0.8713
Ge 0.7698 0.6201 0.3713
Te 0.0351 0.1657 0.5735
Te 0.1369 0.5925 0.8718
Te 0.1657 0.0351 0.0735
Te 0.2988 0.4761 0.3398
Te 0.4075 0.8631 0.6282
Te 0.4761 0.2988 0.8398
Te 0.5239 0.7012 0.1602
Te 0.5925 0.1369 0.3718
Te 0.7012 0.5239 0.6602
Te 0.8343 0.9649 0.9265
Te 0.8631 0.4075 0.1282
Te 0.9649 0.8343 0.4265
! N(E_F)   0.494 states/eV/atom
! Density   5.28 g/cm³
! Total magnetization   0.0000 μB/atom
! Energy relative to the elements, uncorrected   -0.027 eV per atom
! Calculated total energy   -3.48 eV per atom

(5)
! GaGe3Te PBE optimized geometry; values from VASP
&SYSTEM
  ibrav = 0, nat = 5, ntyp = 3
/
ATOMIC_SPECIES
Ga 69.72 Ga.upf
Ge 72.64 Ge.upf
Te 127.60 Te.upf
CELL_PARAMETERS angstrom
5.0003 0.0000 0.0000
0.0000 5.0003 0.0000
0.0000 0.0000 5.0003
ATOMIC_POSITIONS crystal
Ga 0.0000 0.0000 0.0000
Ge 0.0000 0.0000 0.5000
Ge 0.0000 0.5000 0.0000
Ge 0.5000 0.0000 0.0000
Te 0.5000 0.5000 0.5000
! N(E_F)   0.599 states/eV/atom
! Density   5.52 g/cm³
! Total magnetization   0.0000 μB/atom
! Energy relative to the elements, uncorrected   0.515 eV per atom
! Calculated total energy   -3.49 eV per atom
! Relative energy among the computed polymorphs   0 meV per atom

(6)
! Ga2Ge2Te PBE optimized geometry; values from VASP
&SYSTEM
  ibrav = 0, nat = 10, ntyp = 3
/
ATOMIC_SPECIES
Ga 69.72 Ga.upf
Ge 72.64 Ge.upf
Te 127.60 Te.upf
CELL_PARAMETERS angstrom
4.6241 0.0000 0.0000
0.0000 4.6241 0.0000
0.0000 0.0000 10.4040
ATOMIC_POSITIONS crystal
Ga 0.0000 0.5000 0.2500
Ga 0.0000 0.5000 0.7500
Ga 0.5000 0.0000 0.2500
Ga 0.5000 0.0000 0.7500
Ge 0.0000 0.0000 0.1191
Ge 0.0000 0.0000 0.8809
Ge 0.5000 0.5000 0.3809
Ge 0.5000 0.5000 0.6191
Te 0.0000 0.0000 0.5000
Te 0.5000 0.5000 0.0000
! N(E_F)   0.488 states/eV/atom
! Density   6.16 g/cm³
! Total magnetization   0.0000 μB/atom
! Energy relative to the elements, uncorrected   0.146 eV per atom
! Calculated total energy   -3.54 eV per atom
! Relative energy among the computed polymorphs   13 meV per atom

(7)
! GaGe2Te4 PBE optimized geometry; values from VASP
&SYSTEM
  ibrav = 0, nat = 14, ntyp = 3
/
ATOMIC_SPECIES
Ga 69.72 Ga.upf
Ge 72.64 Ge.upf
Te 127.60 Te.upf
CELL_PARAMETERS angstrom
6.8529 0.0000 0.0000
0.0000 8.0067 0.0000
-1.5201 0.0000 8.0307
ATOMIC_POSITIONS crystal
Ga 0.2324 0.2500 0.3348
Ga 0.7676 0.7500 0.6652
Ge 0.1742 0.7500 0.0021
Ge 0.2929 0.7500 0.6454
Ge 0.7071 0.2500 0.3546
Ge 0.8258 0.2500 0.9979
Te 0.0414 0.5076 0.7491
Te 0.0414 0.9924 0.7491
Te 0.4279 0.2500 0.0724
Te 0.4991 0.2500 0.6107
Te 0.5009 0.7500 0.3893
Te 0.5721 0.7500 0.9276
Te 0.9586 0.0076 0.2509
Te 0.9586 0.4924 0.2509
! N(E_F)   0.308 states/eV/atom
! Density   5.47 g/cm³
! Total magnetization   0.0000 μB/atom
! Energy relative to the elements, uncorrected   -0.011 eV per atom
! Calculated total energy   -3.56 eV per atom

(8)
! Ga2Ge2Te PBE optimized geometry; values from VASP
&SYSTEM
  ibrav = 0, nat = 10, ntyp = 3
/
ATOMIC_SPECIES
Ga 69.72 Ga.upf
Ge 72.64 Ge.upf
Te 127.60 Te.upf
CELL_PARAMETERS angstrom
8.4020 0.0000 0.0000
0.0000 8.4020 0.0000
0.0000 0.0000 3.0678
ATOMIC_POSITIONS crystal
Ga 0.1325 0.3675 0.0000
Ga 0.3675 0.8675 0.0000
Ga 0.6325 0.1325 0.0000
Ga 0.8675 0.6325 0.0000
Ge 0.1650 0.6650 0.5000
Ge 0.3350 0.1650 0.5000
Ge 0.6650 0.8350 0.5000
Ge 0.8350 0.3350 0.5000
Te 0.0000 0.0000 0.5000
Te 0.5000 0.5000 0.5000
! N(E_F)   0.476 states/eV/atom
! Density   6.32 g/cm³
! Total magnetization   0.0000 μB/atom
! Energy relative to the elements, uncorrected   0.133 eV per atom
! Calculated total energy   -3.55 eV per atom
! Relative energy among the computed polymorphs   0 meV per atom

(9)
! GaGe3Te4 PBE optimized geometry; values from VASP
&SYSTEM
  ibrav = 0, nat = 16, ntyp = 3
/
ATOMIC_SPECIES
Ga 69.72 Ga.upf
Ge 72.64 Ge.upf
Te 127.60 Te.upf
CELL_PARAMETERS angstrom
8.6026 0.0000 0.0000
0.0000 9.2261 0.0000
0.0000 0.0000 6.1762
ATOMIC_POSITIONS crystal
Ga 0.0000 0.2204 0.0000
Ga 0.5000 0.7796 0.5000
Ge 0.0000 0.9013 0.4718
Ge 0.1856 0.6555 0.9760
Ge 0.3144 0.3445 0.4760
Ge 0.5000 0.0987 0.9718
Ge 0.6856 0.3445 0.4760
Ge 0.8144 0.6555 0.9760
Te 0.0000 0.2310 0.4402
Te 0.0000 0.9282 0.9184
Te 0.2176 0.6574 0.4248
Te 0.2824 0.3426 0.9248
Te 0.5000 0.0718 0.4184
Te 0.5000 0.7690 0.9402
Te 0.7176 0.3426 0.9248
Te 0.7824 0.6574 0.4248
! N(E_F)   0.182 states/eV/atom
! Density   5.41 g/cm³
! Total magnetization   0.0000 μB/atom
! Energy relative to the elements, uncorrected   -0.031 eV per atom
! Calculated total energy   -3.71 eV per atom

(10)
! GaGe3Te PBE optimized geometry; values from VASP
&SYSTEM
  ibrav = 0, nat = 5, ntyp = 3
/
ATOMIC_SPECIES
Ga 69.72 Ga.upf
Ge 72.64 Ge.upf
Te 127.60 Te.upf
CELL_PARAMETERS angstrom
5.4601 0.0000 0.0000
0.0000 5.4601 0.0000
0.0000 0.0000 5.4601
ATOMIC_POSITIONS crystal
Ga 0.0000 0.0000 0.0000
Ge 0.0000 0.5000 0.5000
Ge 0.5000 0.0000 0.5000
Ge 0.5000 0.5000 0.0000
Te 0.5000 0.5000 0.5000
! N(E_F)   1.213 states/eV/atom
! Density   4.24 g/cm³
! Total magnetization   0.0000 μB/atom
! Energy relative to the elements, uncorrected   0.937 eV per atom
! Calculated total energy   -3.07 eV per atom
! Relative energy among the computed polymorphs   422 meV per atom

(11)
! Ga3GeTe PBE optimized geometry; values from VASP
&SYSTEM
  ibrav = 0, nat = 5, ntyp = 3
/
ATOMIC_SPECIES
Ga 69.72 Ga.upf
Ge 72.64 Ge.upf
Te 127.60 Te.upf
CELL_PARAMETERS angstrom
5.0620 0.0000 0.0000
0.0000 5.0620 0.0000
0.0000 0.0000 5.0620
ATOMIC_POSITIONS crystal
Ga 0.0000 0.0000 0.5000
Ga 0.0000 0.5000 0.0000
Ga 0.5000 0.0000 0.0000
Ge 0.0000 0.0000 0.0000
Te 0.5000 0.5000 0.5000
! N(E_F)   0.627 states/eV/atom
! Density   5.24 g/cm³
! Total magnetization   0.0000 μB/atom
! Energy relative to the elements, uncorrected   0.159 eV per atom
! Calculated total energy   -3.21 eV per atom

(12)
! Th8GaGe3Te4 PBE optimized geometry; values from VASP
&SYSTEM
  ibrav = 0, nat = 16, ntyp = 4
/
ATOMIC_SPECIES
Th 232.04 Th.upf
Ga 69.72 Ga.upf
Ge 72.64 Ge.upf
Te 127.60 Te.upf
CELL_PARAMETERS angstrom
4.3733 2.5249 7.3080
-4.3733 2.5249 7.3080
0.0000 -5.0499 7.3080
ATOMIC_POSITIONS crystal
Th 0.2387 0.2387 0.2387
Th 0.2389 0.7390 0.7390
Th 0.2610 0.2610 0.7611
Th 0.2610 0.7611 0.2610
Th 0.7390 0.2389 0.7390
Th 0.7390 0.7390 0.2389
Th 0.7611 0.2610 0.2610
Th 0.7613 0.7613 0.7613
Ga 0.5000 0.5000 0.5000
Ge 0.0000 0.0000 0.5000
Ge 0.0000 0.5000 0.0000
Ge 0.5000 0.0000 0.0000
Te 0.0000 0.0000 0.0000
Te 0.0000 0.5000 0.5000
Te 0.5000 0.0000 0.5000
Te 0.5000 0.5000 0.0000
! N(E_F)   0.562 states/eV/atom
! Density   9.10 g/cm³
! Total magnetization   0.0000 μB/atom
! Energy relative to the elements, uncorrected   -0.949 eV per atom
! Calculated total energy   -6.50 eV per atom

(13)
! Th4GaGeTe2 PBE optimized geometry; values from VASP
&SYSTEM
  ibrav = 0, nat = 8, ntyp = 4
/
ATOMIC_SPECIES
Th 232.04 Th.upf
Ga 69.72 Ga.upf
Ge 72.64 Ge.upf
Te 127.60 Te.upf
CELL_PARAMETERS angstrom
7.5836 0.0000 0.0000
0.0000 4.3835 0.0000
-2.5341 0.0000 7.2983
ATOMIC_POSITIONS crystal
Th 0.2395 0.0000 0.2183
Th 0.2605 0.5000 0.7813
Th 0.7395 0.5000 0.2187
Th 0.7605 0.0000 0.7817
Ga 0.5000 0.0000 0.0000
Ge 0.0000 0.5000 0.0000
Te 0.0000 0.0000 0.5000
Te 0.5000 0.5000 0.5000
! N(E_F)   0.607 states/eV/atom
! Density   9.07 g/cm³
! Total magnetization   0.0000 μB/atom
! Energy relative to the elements, uncorrected   -0.888 eV per atom
! Calculated total energy   -6.34 eV per atom

(14)
! TlGaGeTe3 PBE optimized geometry; values from VASP
&SYSTEM
  ibrav = 0, nat = 12, ntyp = 4
/
ATOMIC_SPECIES
Tl 204.38 Tl.upf
Ga 69.72 Ga.upf
Ge 72.64 Ge.upf
Te 127.60 Te.upf
CELL_PARAMETERS angstrom
9.0386 0.0000 0.0000
0.0000 4.3905 0.0000
-3.0926 0.0000 9.9927
ATOMIC_POSITIONS crystal
Tl 0.2289 0.2500 0.2414
Tl 0.7711 0.7500 0.7586
Ga 0.0808 0.2500 0.6316
Ga 0.9192 0.7500 0.3684
Ge 0.3310 0.7500 0.8886
Ge 0.6690 0.2500 0.1114
Te 0.0905 0.2500 0.8820
Te 0.2104 0.7500 0.5490
Te 0.4631 0.7500 0.1603
Te 0.5369 0.2500 0.8397
Te 0.7896 0.2500 0.4510
Te 0.9095 0.7500 0.1180
! N(E_F)   0.280 states/eV/atom
! Density   6.11 g/cm³
! Total magnetization   0.0000 μB/atom
! Energy relative to the elements, uncorrected   -0.229 eV per atom
! Calculated total energy   -3.47 eV per atom

(15)
! Tl2GaGeTe4 PBE optimized geometry; values from VASP
&SYSTEM
  ibrav = 0, nat = 16, ntyp = 4
/
ATOMIC_SPECIES
Tl 204.38 Tl.upf
Ga 69.72 Ga.upf
Ge 72.64 Ge.upf
Te 127.60 Te.upf
CELL_PARAMETERS angstrom
8.5890 0.0000 0.0000
0.0000 8.5890 0.0000
0.0000 0.0000 6.9662
ATOMIC_POSITIONS crystal
Tl 0.0000 0.5000 0.0000
Tl 0.0000 0.5000 0.5000
Tl 0.5000 0.0000 0.0000
Tl 0.5000 0.0000 0.5000
Ga 0.0000 0.0000 0.0000
Ga 0.5000 0.5000 0.5000
Ge 0.0000 0.0000 0.5000
Ge 0.5000 0.5000 0.0000
Te 0.1732 0.1732 0.7562
Te 0.1732 0.8268 0.2438
Te 0.3268 0.3268 0.2562
Te 0.3268 0.6732 0.7438
Te 0.6732 0.3268 0.7438
Te 0.6732 0.6732 0.2562
Te 0.8268 0.1732 0.2438
Te 0.8268 0.8268 0.7562
! N(E_F)   0.436 states/eV/atom
! Density   6.86 g/cm³
! Total magnetization   0.0000 μB/atom
! Energy relative to the elements, uncorrected   -0.254 eV per atom
! Calculated total energy   -3.37 eV per atom

(16)
! Tm8GaGe3Te4 PBE optimized geometry; values from VASP
&SYSTEM
  ibrav = 0, nat = 16, ntyp = 4
/
ATOMIC_SPECIES
Tm 168.93 Tm.upf
Ga 69.72 Ga.upf
Ge 72.64 Ge.upf
Te 127.60 Te.upf
CELL_PARAMETERS angstrom
4.1747 2.4102 7.0567
-4.1747 2.4102 7.0567
0.0000 -4.8205 7.0567
ATOMIC_POSITIONS crystal
Tm 0.2384 0.7420 0.7420
Tm 0.2386 0.2386 0.2386
Tm 0.2580 0.2580 0.7616
Tm 0.2580 0.7616 0.2580
Tm 0.7420 0.2384 0.7420
Tm 0.7420 0.7420 0.2384
Tm 0.7614 0.7614 0.7614
Tm 0.7616 0.2580 0.2580
Ga 0.5000 0.5000 0.5000
Ge 0.0000 0.0000 0.5000
Ge 0.0000 0.5000 0.0000
Ge 0.5000 0.0000 0.0000
Te 0.0000 0.0000 0.0000
Te 0.0000 0.5000 0.5000
Te 0.5000 0.0000 0.5000
Te 0.5000 0.5000 0.0000
! N(E_F)   0.343 states/eV/atom
! Density   8.38 g/cm³
! Total magnetization   0.0000 μB/atom
! Energy relative to the elements, uncorrected   -1.058 eV per atom
! Calculated total energy   -5.13 eV per atom

(17)
! VGaGeTe2 PBE optimized geometry; values from VASP
&SYSTEM
  ibrav = 0, nat = 5, ntyp = 4
/
ATOMIC_SPECIES
V 50.94 V.upf
Ga 69.72 Ga.upf
Ge 72.64 Ge.upf
Te 127.60 Te.upf
CELL_PARAMETERS angstrom
5.5570 0.0000 0.0000
0.0000 5.5570 0.0000
0.0000 0.0000 4.8076
ATOMIC_POSITIONS crystal
V 0.0000 0.0000 0.0000
Ga 0.5000 0.5000 0.0000
Ge 0.0000 0.0000 0.5000
Te 0.0000 0.5000 0.5000
Te 0.5000 0.0000 0.5000
! N(E_F)   0.830 states/eV/atom
! Density   5.02 g/cm³
! Total magnetization   0.5968 μB/atom
! Energy relative to the elements, uncorrected   0.591 eV per atom
! Calculated total energy   -4.02 eV per atom

(18)
! Y4GaGeTe2 PBE optimized geometry; values from VASP
&SYSTEM
  ibrav = 0, nat = 8, ntyp = 4
/
ATOMIC_SPECIES
Y 88.91 Y.upf
Ga 69.72 Ga.upf
Ge 72.64 Ge.upf
Te 127.60 Te.upf
CELL_PARAMETERS angstrom
7.2259 0.0000 0.0000
0.0000 4.2155 0.0000
-2.4455 0.0000 7.2810
ATOMIC_POSITIONS crystal
Y 0.2385 0.0000 0.2243
Y 0.2545 0.5000 0.7695
Y 0.7455 0.5000 0.2305
Y 0.7615 0.0000 0.7757
Ga 0.5000 0.0000 0.0000
Ge 0.0000 0.5000 0.0000
Te 0.0000 0.0000 0.5000
Te 0.5000 0.5000 0.5000
! N(E_F)   0.550 states/eV/atom
! Density   5.64 g/cm³
! Total magnetization   0.0000 μB/atom
! Energy relative to the elements, uncorrected   -1.067 eV per atom
! Calculated total energy   -6.04 eV per atom

(19)
! Th3Ga4Ge2 PBE optimized geometry; values from VASP
&SYSTEM
  ibrav = 0, nat = 9, ntyp = 3
/
ATOMIC_SPECIES
Th 232.04 Th.upf
Ga 69.72 Ga.upf
Ge 72.64 Ge.upf
CELL_PARAMETERS angstrom
5.6413 -2.1418 0.0000
5.6413 2.1418 0.0000
-1.7651 0.0000 8.3932
ATOMIC_POSITIONS crystal
Th 0.0000 0.0000 0.0000
Th 0.3311 0.3311 0.3362
Th 0.6689 0.6689 0.6638
Ga 0.0670 0.0670 0.4028
Ga 0.2611 0.2611 0.9313
Ga 0.7389 0.7389 0.0687
Ga 0.9330 0.9330 0.5972
Ge 0.4019 0.4019 0.7363
Ge 0.5981 0.5981 0.2637
! Energy of formation   -0.582 eV per atom
! N(E_F)   0.582 states/eV/atom
! Density   9.17 g/cm³
! Total magnetization   0.0000 μB/atom
! Calculated total energy   -5.43 eV per atom

(20)
! Th2Ga2Ge PBE optimized geometry; values from VASP
&SYSTEM
  ibrav = 0, nat = 10, ntyp = 3
/
ATOMIC_SPECIES
Th 232.04 Th.upf
Ga 69.72 Ga.upf
Ge 72.64 Ge.upf
CELL_PARAMETERS angstrom
5.6105 -2.1387 0.0000
5.6105 2.1387 0.0000
-5.0146 0.0000 9.9631
ATOMIC_POSITIONS crystal
Th 0.1004 0.1004 0.4028
Th 0.2938 0.2938 0.8518
Th 0.7062 0.7062 0.1482
Th 0.8996 0.8996 0.5972
Ga 0.0385 0.0385 0.9144
Ga 0.3686 0.3686 0.3853
Ga 0.6314 0.6314 0.6147
Ga 0.9615 0.9615 0.0856
Ge 0.4359 0.4359 0.1916
Ge 0.5641 0.5641 0.8084
! Energy of formation   -0.572 eV per atom
! N(E_F)   0.646 states/eV/atom
! Density   9.39 g/cm³
! Total magnetization   0.0000 μB/atom
! Calculated total energy   -5.67 eV per atom